Entry 1:
# AcZn6Cu2 | Alexandria | PBE-GGA | relaxed
# M_tot, Bohr magnetons per cell: 0.00
# Fermi-level density of states, states/eV per atom: 0.31
# DFT formation energy, meV per atom: -159
data_AcZn6Cu2
_cell_length_a 4.247
_cell_length_b 4.247
_cell_length_c 8.751
_cell_angle_alpha 90.00
_cell_angle_beta 90.00
_cell_angle_gamma 90.00
_space_group_name_H-M_alt 'P 1'
_space_group_IT_number 1
_space_group_name_Hall 'P 1'
loop_
_atom_site_label
_atom_site_type_symbol
_atom_site_fract_x
_atom_site_fract_y
_atom_site_fract_z
Ac1 Ac 0.000 0.000 0.000
Zn1 Zn 0.000 0.500 0.307
Zn2 Zn 0.500 0.000 0.307
Zn3 Zn 0.000 0.500 0.693
Zn4 Zn 0.500 0.000 0.693
Zn5 Zn 0.500 0.500 0.500
Zn6 Zn 0.000 0.000 0.500
Cu1 Cu 0.500 0.500 0.147
Cu2 Cu 0.500 0.500 0.853



Entry 2:
# Sc4MoAs | Alexandria | PBE-GGA | relaxed
# M_tot, Bohr magnetons per cell: 0.00
# Fermi-level density of states, states/eV per atom: 1.19
# DFT formation energy, meV per atom: 446
data_Sc4MoAs
_cell_length_a 5.596
_cell_length_b 5.596
_cell_length_c 5.596
_cell_angle_alpha 60.00
_cell_angle_beta 60.00
_cell_angle_gamma 60.00
_space_group_name_H-M_alt 'P 1'
_space_group_IT_number 1
_space_group_name_Hall 'P 1'
loop_
_atom_site_label
_atom_site_type_symbol
_atom_site_fract_x
_atom_site_fract_y
_atom_site_fract_z
Sc1 Sc 0.881 0.373 0.373
Sc2 Sc 0.373 0.373 0.881
Sc3 Sc 0.373 0.881 0.373
Sc4 Sc 0.373 0.373 0.373
Mo1 Mo 0.000 0.000 0.000
As1 As 0.750 0.750 0.750



Entry 3:
# Ba2LaSiW | Alexandria | PBE-GGA | relaxed
# E_form (uncorrected), eV per atom: 0.90
# M_tot, Bohr magnetons per cell: 0.97
# Fermi-level density of states, states/eV per atom: 1.40
data_Ba2LaSiW
_cell_length_a 5.871
_cell_length_b 5.475
_cell_length_c 5.871
_cell_angle_alpha 90.00
_cell_angle_beta 90.00
_cell_angle_gamma 90.00
_space_group_name_H-M_alt 'P 1'
_space_group_IT_number 1
_space_group_name_Hall 'P 1'
loop_
_atom_site_label
_atom_site_type_symbol
_atom_site_fract_x
_atom_site_fract_y
_atom_site_fract_z
Si1 Si 0.500 0.500 0.500
Ba1 Ba 0.000 0.000 0.500
Ba2 Ba 0.500 0.000 0.000
W1 W 0.000 0.000 0.000
La1 La 0.000 0.500 0.000



Entry 4:
# Cs3HgSb | Alexandria | PBE-GGA | relaxed
# E_form (uncorrected), eV per atom: -0.37
# M_tot, Bohr magnetons per cell: 0.00
data_Cs3HgSb
_cell_length_a 10.017
_cell_length_b 8.682
_cell_length_c 12.435
_cell_angle_alpha 92.54
_cell_angle_beta 90.00
_cell_angle_gamma 90.00
_space_group_name_H-M_alt 'P 1'
_space_group_IT_number 1
_space_group_name_Hall 'P 1'
loop_
_atom_site_label
_atom_site_type_symbol
_atom_site_fract_x
_atom_site_fract_y
_atom_site_fract_z
Cs1 Cs 0.035 0.234 0.337
Cs2 Cs 0.965 0.766 0.663
Cs3 Cs 0.535 0.766 0.163
Cs4 Cs 0.465 0.234 0.837
Cs5 Cs 0.475 0.282 0.395
Cs6 Cs 0.525 0.718 0.605
Cs7 Cs 0.975 0.718 0.105
Cs8 Cs 0.025 0.282 0.895
Cs9 Cs 0.821 0.323 0.612
Cs10 Cs 0.179 0.677 0.388
Cs11 Cs 0.321 0.677 0.888
Cs12 Cs 0.679 0.323 0.112
Hg1 Hg 0.757 0.928 0.409
Hg2 Hg 0.243 0.072 0.591
Hg3 Hg 0.257 0.072 0.091
Hg4 Hg 0.743 0.928 0.909
Sb1 Sb 0.285 0.406 0.128
Sb2 Sb 0.715 0.594 0.872
Sb3 Sb 0.785 0.594 0.372
Sb4 Sb 0.215 0.406 0.628



Entry 5:
# KCoGe | Alexandria | PBE-GGA | relaxed
# M_tot, Bohr magnetons per cell: 0.00
# Fermi-level density of states, states/eV per atom: 1.29
# DFT formation energy, meV per atom: 52
data_KCoGe
_cell_length_a 3.891
_cell_length_b 9.970
_cell_length_c 5.138
_cell_angle_alpha 89.99
_cell_angle_beta 90.00
_cell_angle_gamma 101.39
_space_group_name_H-M_alt 'P 1'
_space_group_IT_number 1
_space_group_name_Hall 'P 1'
loop_
_atom_site_label
_atom_site_type_symbol
_atom_site_fract_x
_atom_site_fract_y
_atom_site_fract_z
K1 K 0.231 0.704 0.005
K2 K 0.519 0.299 0.506
Co1 Co 0.378 0.002 0.752
Co2 Co 0.379 0.002 0.251
Ge1 Ge 0.865 0.976 0.501
Ge2 Ge 0.892 0.028 0.001



Entry 6:
# SrLiSe2 | Alexandria | PBE-GGA | relaxed
# E_form (uncorrected), eV per atom: -1.19
# M_tot, Bohr magnetons per cell: 0.00
# Fermi-level density of states, states/eV per atom: 0.58
data_SrLiSe2
_cell_length_a 5.003
_cell_length_b 5.009
_cell_length_c 3.888
_cell_angle_alpha 90.00
_cell_angle_beta 90.00
_cell_angle_gamma 90.00
_space_group_name_H-M_alt 'P 1'
_space_group_IT_number 1
_space_group_name_Hall 'P 1'
loop_
_atom_site_label
_atom_site_type_symbol
_atom_site_fract_x
_atom_site_fract_y
_atom_site_fract_z
Li1 Li 0.000 0.500 0.500
Se1 Se 0.000 0.000 0.000
Se2 Se 0.500 0.500 0.000
Sr1 Sr 0.500 0.000 0.500